Record 1
DFT (GGA-PBE) results for an optimized crystal structure of CrRe2Ni.

Properties
**Symmetry**: Pmmm (47)
**Density**: 15.119 g/cm3

```
CrRe2Ni
1.0
2.6766 0.0000 0.0000
0.0000 3.7139 0.0000
0.0000 0.0000 5.3378
Cr Ni Re
1 1 2
direct
0.5000 0.5000 0.2500 Cr
0.5000 0.5000 0.7500 Ni
0.0000 0.0000 0.0072 Re
0.0000 0.0000 0.4928 Re
```


Record 2
DFT (GGA-PBE) results for an optimized crystal structure of CrRe2Ni.

Properties
**Symmetry**: P4/mmm (123)
**Density**: 15.252 g/cm3

```
CrRe2Ni
1.0
3.7779 0.0000 0.0000
0.0000 3.7781 0.0000
0.0000 0.0000 3.6850
Re Cr Ni
2 1 1
direct
0.0000 0.0000 0.0000 Re
0.5000 0.5000 0.0000 Re
0.5000 0.0000 0.5000 Cr
0.0000 0.5000 0.5000 Ni
```


Record 3
DFT (GGA-PBE) results for an optimized crystal structure of CrRe2Ni.

Properties
**Symmetry**: Cm (8)
**Density**: 15.093 g/cm3

```
CrRe2Ni
1.0
-4.4001 0.6255 1.0977
-3.3143 -1.0331 2.9842
0.3508 3.4899 2.8663
Cr Ni Re
1 1 2
direct
0.5011 0.5011 0.4921 Cr
0.2473 0.2473 0.2546 Ni
0.9978 0.9978 0.0128 Re
0.7537 0.7537 0.7405 Re
```


Record 4
DFT (GGA-PBE) results for an optimized crystal structure of CrRe2Ni.

Properties
**Symmetry**: P2/m (10)
**Density**: 15.033 g/cm3

```
CrRe2Ni
1.0
-2.4556 -2.6285 1.5436
1.0504 -1.8512 -1.4813
4.3284 -2.5099 2.6116
Cr Ni Re
1 1 2
direct
0.5000 0.2500 0.2500 Cr
0.5000 0.7500 0.7500 Ni
0.0000 0.0716 0.9986 Re
0.0000 0.4284 0.5014 Re
```


Record 5
DFT (GGA-PBE) results for an optimized crystal structure of CrRe2Ni.

Properties
**Symmetry**: Cmmm (65)
**Density**: 15.177 g/cm3

```
CrRe2Ni
1.0
-1.9780 5.1685 2.2317
1.3977 -3.3853 2.7180
1.8323 1.6298 1.0822
Cr Ni Re
1 1 2
direct
0.0000 0.5000 0.5000 Cr
0.5000 0.5000 0.0000 Ni
0.0000 0.0000 0.0000 Re
0.5000 0.0000 0.5000 Re
```


Record 6
DFT (GGA-PBE) results for an optimized crystal structure of CrRe2Ni.

Properties
**Symmetry**: P4mm (99)
**Density**: 15.153 g/cm3

```
CrRe2Ni
1.0
3.1027 0.0000 0.0000
0.0000 3.1027 0.0000
0.0000 0.0000 5.4993
Cr Ni Re
1 1 2
direct
0.0000 0.0000 0.5304 Cr
0.5000 0.5000 0.7316 Ni
0.0000 0.0000 0.9784 Re
0.5000 0.5000 0.2596 Re
```


Number 1: total DFT energy (no corrections) -9.960 eV per atom, E above lowest polymorph 0.0893 eV per atom. Number 2: total DFT energy (no corrections) -10.049 eV per atom, E above lowest polymorph 0.0000 eV per atom. Number 3: total DFT energy (no corrections) -9.969 eV per atom, E above lowest polymorph 0.0805 eV per atom. Number 4: total DFT energy (no corrections) -9.962 eV per atom, E above lowest polymorph 0.0869 eV per atom. Number 5: total DFT energy (no corrections) -9.986 eV per atom, E above lowest polymorph 0.0629 eV per atom. Number 6: total DFT energy (no corrections) -9.962 eV per atom, E above lowest polymorph 0.0873 eV per atom.